Entry 1:
An optimized crystal structure of La2AlTe, computed with PBE.

Geometry as CIF:
```
data_La2AlTe
_chemical_formula_sum 'La8 Al4 Te4'
_cell_length_a 6.8818
_cell_length_b 6.8818
_cell_length_c 15.3906
_cell_angle_alpha 90.00
_cell_angle_beta 90.00
_cell_angle_gamma 90.00
_symmetry_space_group_name_H-M 'I -4 2 d'
_symmetry_Int_Tables_number 122
_symmetry_space_group_name_Hall 'I -4 2bw'
loop_
_atom_site_label
_atom_site_type_symbol
_atom_site_fract_x
_atom_site_fract_y
_atom_site_fract_z
La1 La 0.2315 0.2500 0.1250
Al1 Al 0.0000 0.0000 0.0000
Te1 Te 0.0000 0.0000 0.5000
```

Calculated volume   45.56 Å³ per atom
E_form (uncorrected)   -0.93 eV per formula unit
Total DFT energy (no corrections)   -70.66 eV/cell



Entry 2:
An optimized crystal structure of KInPb, computed with PBE.

Geometry as CIF:
```
data_KInPb
_chemical_formula_sum 'K2 In2 Pb2'
_cell_length_a 6.6375
_cell_length_b 4.6717
_cell_length_c 7.5098
_cell_angle_alpha 90.00
_cell_angle_beta 102.80
_cell_angle_gamma 90.00
_symmetry_space_group_name_H-M 'P 1 m 1'
_symmetry_Int_Tables_number 6
_symmetry_space_group_name_Hall 'P -2y'
loop_
_atom_site_label
_atom_site_type_symbol
_atom_site_fract_x
_atom_site_fract_y
_atom_site_fract_z
K1 K 0.0000 0.0000 0.0000
K2 K 0.4696 0.5000 0.8539
In1 In 0.3229 0.5000 0.2985
In2 In 0.8341 0.5000 0.3125
Pb1 Pb 0.1368 0.0000 0.5426
Pb2 Pb 0.6299 0.0000 0.5170
```

Calculated volume   37.85 Å³ per atom
Energy of formation   -0.19 eV per formula unit
Total DFT energy (no corrections)   -15.48 eV/cell



Entry 3:
An optimized crystal structure of La3TcAu, computed with PBE.

Geometry as CIF:
```
data_La3TcAu
_chemical_formula_sum 'La3 Tc1 Au1'
_cell_length_a 5.4187
_cell_length_b 5.4187
_cell_length_c 5.4187
_cell_angle_alpha 90.00
_cell_angle_beta 90.00
_cell_angle_gamma 90.00
_symmetry_space_group_name_H-M 'P m -3 m'
_symmetry_Int_Tables_number 221
_symmetry_space_group_name_Hall '-P 4 2 3'
loop_
_atom_site_label
_atom_site_type_symbol
_atom_site_fract_x
_atom_site_fract_y
_atom_site_fract_z
La1 La 0.0000 0.0000 0.5000
Tc1 Tc 0.0000 0.0000 0.0000
Au1 Au 0.5000 0.5000 0.5000
```

Calculated volume   31.82 Å³ per atom
Energy of formation   -0.53 eV per formula unit
Total DFT energy (no corrections)   -28.96 eV/cell



Entry 4:
An optimized crystal structure of Zr2As3, computed with PBE.

Geometry as CIF:
```
data_Zr2As3
_chemical_formula_sum 'Zr16 As24'
_cell_length_a 11.8304
_cell_length_b 12.9564
_cell_length_c 5.4303
_cell_angle_alpha 90.00
_cell_angle_beta 90.00
_cell_angle_gamma 90.00
_symmetry_space_group_name_H-M 'F d d 2'
_symmetry_Int_Tables_number 43
_symmetry_space_group_name_Hall 'F 2 -2d'
loop_
_atom_site_label
_atom_site_type_symbol
_atom_site_fract_x
_atom_site_fract_y
_atom_site_fract_z
Zr1 Zr 0.0482 0.1651 0.0000
As1 As 0.0000 0.0000 0.7061
As2 As 0.1175 0.4622 0.7314
```

Calculated volume   20.81 Å³ per atom
Energy of formation   -3.37 eV per formula unit
Total DFT energy (no corrections)   -275.29 eV/cell



| no. | DOS at the Fermi energy (states/eV/f.u.) |
| --- | --- |
| 1 | 4.0 |
| 2 | 1.7 |
| 3 | 4.9 |
| 4 | 2.9 |